YScTe2: relaxed, PBEsol.

Results
- crystal system = tetragonal
- density of states at the Fermi level (states/eV/f.u.) = 2.2
- symmetry = P4mm
- formation energy from raw total energies (eV per atom) = -1.26

Structure (POSCAR):
```
YScTe2
1.0
4.106 0.000 0.000
0.000 4.106 0.000
0.000 0.000 6.203
Y Sc Te
1 1 2
direct
0.000 0.000 0.000
0.500 0.500 0.371
0.000 0.000 0.482
0.500 0.500 0.892
```